1.
{"formula": "NpZn5", "functional": "PBE", "state": "relaxed", "formation_enthalpy_0k_ev_per_fu": 0.94, "dos_at_fermi_per_ev_cell": 11.1, "sg": "Cmmm", "total_energy_ev_per_atom": -3.062, "lattice": [[4.4592, 0.0000, 0.0000], [0.0000, 4.4364, 0.0000], [0.0000, -2.2182, 5.4794]], "species": ["Np", "Zn", "Zn", "Zn", "Zn", "Zn"], "fractional_positions": [[0.0000, 0.0000, 0.0000], [0.5000, 0.8223, 0.6446], [0.0000, 0.6850, 0.3700], [0.5000, 0.5000, 0.0000], [0.0000, 0.3150, 0.6300], [0.5000, 0.1777, 0.3554]]}

2.
{"formula": "La2TlCo2", "functional": "PBE", "state": "relaxed", "formation_enthalpy_0k_ev_per_fu": 0.08, "dos_at_fermi_per_ev_cell": 4.3, "sg": "I4/mmm", "total_energy_ev_per_atom": -5.270, "lattice": [[-4.1787, -1.3100, -3.3392], [-3.0255, -1.4668, 4.3616], [-4.9722, 2.2692, 0.7909]], "species": ["Tl", "Co", "Co", "La", "La"], "fractional_positions": [[0.0000, 0.0000, 0.0000], [0.3382, 0.3382, 0.3237], [0.6618, 0.6618, 0.6763], [0.7500, 0.2500, 0.5000], [0.2500, 0.7500, 0.5000]]}

3.
{"formula": "Mg4PbBr", "functional": "PBE", "state": "relaxed", "raw_formation_energy_mev_per_atom": -68, "dos_at_fermi_per_ev_cell": 1.8, "sg": "F-43m", "total_energy_ev_per_atom": -2.028, "lattice": [[-0.3722, -5.5247, -2.3518], [-5.0040, -1.7199, -2.8624], [0.0524, -0.7375, -5.9703]], "species": ["Mg", "Mg", "Mg", "Mg", "Pb", "Br"], "fractional_positions": [[0.8727, 0.3758, 0.3758], [0.3758, 0.3758, 0.8727], [0.3758, 0.8727, 0.3758], [0.3758, 0.3758, 0.3758], [0.7500, 0.7500, 0.7500], [0.0000, 0.0000, 0.0000]]}

4.
{"formula": "ScTl3Mo", "functional": "PBE", "state": "relaxed", "polymorph_energy_mev_per_atom": 0.0, "formation_enthalpy_0k_ev_per_fu": 3.90, "dos_at_fermi_per_ev_cell": 5.1, "sg": "Pm-3m", "total_energy_ev_per_atom": -4.072, "lattice": [[5.3207, 0.0000, 0.0000], [0.0000, 5.3207, 0.0000], [0.0000, 0.0000, 5.3207]], "species": ["Sc", "Tl", "Tl", "Tl", "Mo"], "fractional_positions": [[0.5000, 0.5000, 0.5000], [0.0000, 0.5000, 0.0000], [0.0000, 0.0000, 0.5000], [0.5000, 0.0000, 0.0000], [0.0000, 0.0000, 0.0000]]}